# InFe3O6 (GGA+U, relaxed)
# total energy: -124.58 eV/cell
# total magnetic moment: 12.98 μB per formula unit
data_InFe3O6
_cell_length_a 5.258
_cell_length_b 5.259
_cell_length_c 9.437
_cell_angle_alpha 90.00
_cell_angle_beta 120.64
_cell_angle_gamma 90.00
_symmetry_space_group_name_H-M 'P 1 21/c 1'
_symmetry_Int_Tables_number 14
_symmetry_space_group_name_Hall '-P 2ybc'
loop_
_atom_site_label
_atom_site_fract_x
_atom_site_fract_y
_atom_site_fract_z
In1 0.000 0.000 0.000
Fe1 0.287 0.041 0.785
Fe2 0.500 0.000 0.500
O1 0.069 0.125 0.234
O2 0.326 0.670 0.118
O3 0.397 0.179 0.044